Zr2PaO4 | OQMD via LeMat-Bulk | PBE | relaxed; E_tot = -9.01 eV/atom; SG = No. 141
1.0
0.237 4.259 5.096
-4.048 1.226 -5.125
-1.376 -5.001 4.154
O Pa Zr
8 2 4
Direct
0.162 0.776 0.385 O
0.609 0.224 0.385 O
0.615 0.776 0.391 O
0.135 0.276 0.412 O
0.615 0.224 0.838 O
0.135 0.724 0.859 O
0.141 0.276 0.865 O
0.588 0.724 0.865 O
0.000 0.000 0.000 Pa
0.750 0.500 0.250 Pa
0.375 0.750 0.125 Zr
0.375 0.250 0.625 Zr
0.375 0.750 0.625 Zr
0.875 0.250 0.625 Zr

=====

HoEr2Hg | OQMD via LeMat-Bulk | PBE | relaxed; relative energy among the computed polymorphs = 0.000 eV/atom; SG = No. 40; ΔH_f (0 K) = -0.8 eV/f.u.
1.0
5.070 0.000 0.000
0.000 5.247 4.144
0.000 -5.247 4.144
Er Hg Ho
4 2 2
Direct
0.750 0.929 0.155 Er
0.750 0.860 0.641 Er
0.250 0.641 0.860 Er
0.250 0.155 0.929 Er
0.750 0.430 0.069 Hg
0.250 0.069 0.430 Hg
0.250 0.571 0.345 Ho
0.750 0.345 0.571 Ho

=====

Dy2Y2Er2TmNi2Te2 | OQMD via LeMat-Bulk | PBE | relaxed; relative energy among the computed polymorphs = 0.010 eV/atom; SG = No. 44
1.0
4.764 6.433 4.810
-9.297 0.771 -0.443
8.174 -3.163 3.224
Dy Er Ni Te Tm Y
2 2 2 2 1 2
Direct
0.027 0.895 0.132 Dy
0.764 0.895 0.868 Dy
0.100 0.747 0.354 Er
0.393 0.747 0.646 Er
0.642 0.404 0.238 Ni
0.166 0.404 0.762 Ni
0.142 0.142 0.000 Te
0.741 0.241 0.500 Te
0.477 0.477 0.000 Tm
0.413 0.097 0.316 Y
0.781 0.097 0.684 Y

=====

BMoPd | OQMD via LeMat-Bulk | PBE | relaxed; relative energy among the computed polymorphs = 0.050 eV/atom; SG = No. 216
1.0
-3.923 -0.819 0.282
-2.032 1.023 3.311
-2.689 2.981 -0.135
B Mo Pd
1 1 1
Direct
0.250 0.250 0.250 B
0.000 0.000 0.000 Mo
0.750 0.750 0.750 Pd

=====

DyAgGeSe3 | OQMD via LeMat-Bulk | PBE | relaxed; E_tot = -4.51 eV/atom; SG = No. 63
1.0
-7.965 -5.827 4.272
3.176 -5.828 -2.027
-0.770 4.732 5.018
Ag Dy Ge Se
2 2 2 6
Direct
0.250 0.523 0.477 Ag
0.750 0.477 0.523 Ag
0.000 0.000 0.000 Dy
0.500 0.000 0.000 Dy
0.750 0.770 0.230 Ge
0.250 0.230 0.770 Ge
0.250 0.891 0.109 Se
0.063 0.648 0.352 Se
0.437 0.648 0.352 Se
0.563 0.352 0.648 Se
0.937 0.352 0.648 Se
0.750 0.109 0.891 Se

=====

DyErMo | OQMD via LeMat-Bulk | PBE | relaxed; SG = No. 216; ΔH_f (0 K) = 3.7 eV/f.u.
1.0
0.000 3.461 3.461
3.461 0.000 3.461
3.461 3.461 0.000
Dy Er Mo
1 1 1
Direct
0.250 0.250 0.250 Dy
0.000 0.000 0.000 Er
0.750 0.750 0.750 Mo